1.
# MnOs2Ru, relaxed, DFT PBE
# * formation energy: 95 meV per atom
# * uncorrected energy: -81.049 eV/cell
# * excess energy over the best structure of this formula in the dataset: 29 meV/atom
data_MnOs2Ru
_symmetry_space_group_name_H-M 'C 1 m 1'
_symmetry_Int_Tables_number 8
_cell_length_a 8.893
_cell_length_b 2.695
_cell_length_c 4.646
_cell_angle_alpha 90.00
_cell_angle_beta 99.82
_cell_angle_gamma 90.00
loop_
_symmetry_equiv_pos_as_xyz
'x,y,z'
'x,-y,z'
'x+1/2,y+1/2,z'
'x+1/2,-y+1/2,z'
loop_
_atom_site_label
_atom_site_type_symbol
_atom_site_fract_x
_atom_site_fract_y
_atom_site_fract_z
Mn1 Mn 0.000 0.000 0.000
Os1 Os 0.249 0.500 0.251
Os2 Os 0.499 0.000 0.499
Ru1 Ru 0.247 0.000 0.755

2.
# Mn2OsRu, relaxed, DFT PBE
# * formation energy: 1274 meV per atom
# * uncorrected energy: -134.996 eV/cell
data_Mn2OsRu
_symmetry_space_group_name_H-M 'I -4 2 d'
_symmetry_Int_Tables_number 122
_symmetry_space_group_name_Hall 'I -4 2bw'
_cell_length_a 5.277
_cell_length_b 5.277
_cell_length_c 10.376
_cell_angle_alpha 90.00
_cell_angle_beta 90.00
_cell_angle_gamma 90.00
loop_
_atom_site_label
_atom_site_type_symbol
_atom_site_fract_x
_atom_site_fract_y
_atom_site_fract_z
Mn1 Mn 0.247 0.250 0.125
Os1 Os 0.000 0.000 0.500
Ru1 Ru 0.000 0.000 0.000

3.
# Mn2Os2Ru, relaxed, DFT PBE
# * formation energy: 275 meV per atom
# * uncorrected energy: -97.399 eV/cell
# * excess energy over the best structure of this formula in the dataset: 86 meV/atom
data_Mn2Os2Ru
_symmetry_space_group_name_H-M 'P 4/m b m'
_symmetry_Int_Tables_number 127
_symmetry_space_group_name_Hall '-P 4 2ab'
_cell_length_a 7.106
_cell_length_b 7.106
_cell_length_c 2.670
_cell_angle_alpha 90.00
_cell_angle_beta 90.00
_cell_angle_gamma 90.00
loop_
_atom_site_label
_atom_site_type_symbol
_atom_site_fract_x
_atom_site_fract_y
_atom_site_fract_z
Mn1 Mn 0.169 0.331 0.000
Os1 Os 0.129 0.629 0.500
Ru1 Ru 0.000 0.000 0.500

4.
# MnOs2Ru, relaxed, DFT PBE
# * formation energy: 125 meV per atom
# * uncorrected energy: -40.403 eV/cell
# * excess energy over the best structure of this formula in the dataset: 60 meV/atom
data_MnOs2Ru
_symmetry_space_group_name_H-M 'P 4 m m'
_symmetry_Int_Tables_number 99
_cell_length_a 2.691
_cell_length_b 2.691
_cell_length_c 7.506
_cell_angle_alpha 90.00
_cell_angle_beta 90.00
_cell_angle_gamma 90.00
loop_
_symmetry_equiv_pos_as_xyz
'x,y,z'
'-y,x,z'
'-x,-y,z'
'y,-x,z'
'-x,y,z'
'y,x,z'
'x,-y,z'
'-y,-x,z'
loop_
_atom_site_label
_atom_site_type_symbol
_atom_site_fract_x
_atom_site_fract_y
_atom_site_fract_z
Mn1 Mn 0.000 0.000 0.000
Os1 Os 0.000 0.000 0.500
Os2 Os 0.500 0.500 0.242
Ru1 Ru 0.500 0.500 0.759

5.
# Mn2Os4Ru5, relaxed, DFT PBE
# * formation energy: 419 meV per atom
# * uncorrected energy: -210.058 eV/cell
data_Mn2Os4Ru5
_symmetry_space_group_name_H-M 'C 1 2/m 1'
_symmetry_Int_Tables_number 12
_cell_length_a 12.878
_cell_length_b 2.680
_cell_length_c 10.117
_cell_angle_alpha 90.00
_cell_angle_beta 100.92
_cell_angle_gamma 90.00
loop_
_symmetry_equiv_pos_as_xyz
'x,y,z'
'-x,-y,-z'
'-x,y,-z'
'x,-y,z'
'x+1/2,y+1/2,z'
'-x+1/2,-y+1/2,-z'
'-x+1/2,y+1/2,-z'
'x+1/2,-y+1/2,z'
loop_
_atom_site_label
_atom_site_type_symbol
_atom_site_fract_x
_atom_site_fract_y
_atom_site_fract_z
Mn1 Mn 0.028 0.000 0.114
Os1 Os 0.087 0.500 0.324
Os2 Os 0.147 0.500 0.978
Ru1 Ru 0.000 0.000 0.500
Ru2 Ru 0.105 0.000 0.743
Ru3 Ru 0.220 0.000 0.212

6.
# MnOsRu, relaxed, DFT PBE
# * formation energy: 102 meV per atom
# * uncorrected energy: -58.739 eV/cell
# * excess energy over the best structure of this formula in the dataset: 0 meV/atom
data_MnOsRu
_symmetry_space_group_name_H-M 'I m m 2'
_symmetry_Int_Tables_number 44
_cell_length_a 2.682
_cell_length_b 3.745
_cell_length_c 7.994
_cell_angle_alpha 90.00
_cell_angle_beta 90.00
_cell_angle_gamma 90.00
loop_
_symmetry_equiv_pos_as_xyz
'x,y,z'
'-x,-y,z'
'-x,y,z'
'x,-y,z'
'x+1/2,y+1/2,z+1/2'
'-x+1/2,-y+1/2,z+1/2'
'-x+1/2,y+1/2,z+1/2'
'x+1/2,-y+1/2,z+1/2'
loop_
_atom_site_label
_atom_site_type_symbol
_atom_site_fract_x
_atom_site_fract_y
_atom_site_fract_z
Mn1 Mn 0.000 0.000 0.000
Os1 Os 0.000 0.000 0.664
Ru1 Ru 0.000 0.000 0.333